(1)
{
  "formula": "TmIn2Sn2",
  "functional": "PBE",
  "state": "optimized geometry",
  "cell": [[2.200, -13.203, 0.000], [2.200, 13.203, 0.000], [0.000, 0.000, 4.465]],
  "species": ["Tm", "Tm", "In", "In", "In", "In", "Sn", "Sn", "Sn", "Sn"],
  "frac_coords": [[0.155, 0.845, 0.750], [0.845, 0.155, 0.250], [0.054, 0.946, 0.250], [0.450, 0.550, 0.250], [0.550, 0.450, 0.750], [0.946, 0.054, 0.750], [0.250, 0.750, 0.250], [0.355, 0.645, 0.750], [0.645, 0.355, 0.250], [0.750, 0.250, 0.750]],
  "polymorph_energy_mev_per_atom": 0,
  "magnetic_moment_mub_per_fu": 0.000,
  "e_form_kj_per_mol_atoms": -25.6,
  "energy_ev_per_atom": -3.86
}

---

(2)
{
  "formula": "Tm2InSn",
  "functional": "PBE",
  "state": "optimized geometry",
  "cell": [[3.689, 0.000, 0.000], [-1.844, 3.194, 0.000], [0.000, 0.000, 28.110]],
  "species": ["Tm", "Tm", "Tm", "Tm", "Tm", "Tm", "In", "In", "In", "Sn", "Sn", "Sn"],
  "frac_coords": [[0.000, 0.000, 0.249], [0.000, 0.000, 0.751], [0.333, 0.667, 0.418], [0.333, 0.667, 0.915], [0.667, 0.333, 0.085], [0.667, 0.333, 0.582], [0.000, 0.000, 0.000], [0.333, 0.667, 0.667], [0.667, 0.333, 0.333], [0.000, 0.000, 0.500], [0.333, 0.667, 0.167], [0.667, 0.333, 0.833]],
  "magnetic_moment_mub_per_fu": 0.000,
  "e_form_kj_per_mol_atoms": -37.8,
  "energy_ev_per_atom": -4.31
}

---

(3)
{
  "formula": "Tm4In2Sn",
  "functional": "PBE",
  "state": "optimized geometry",
  "cell": [[5.575, 0.000, 0.000], [0.000, 6.499, 0.000], [-2.023, 0.000, 10.476]],
  "species": ["Tm", "Tm", "Tm", "Tm", "Tm", "Tm", "Tm", "Tm", "In", "In", "In", "In", "Sn", "Sn"],
  "frac_coords": [[0.124, 0.250, 0.129], [0.241, 0.750, 0.445], [0.330, 0.005, 0.732], [0.330, 0.495, 0.732], [0.670, 0.505, 0.268], [0.670, 0.995, 0.268], [0.759, 0.250, 0.555], [0.876, 0.750, 0.871], [0.217, 0.250, 0.432], [0.432, 0.750, 0.994], [0.568, 0.250, 0.006], [0.783, 0.750, 0.568], [0.098, 0.750, 0.166], [0.902, 0.250, 0.834]],
  "magnetic_moment_mub_per_fu": 0.000,
  "e_form_kj_per_mol_atoms": -36.5,
  "energy_ev_per_atom": -4.29
}

---

(4)
{
  "formula": "Tm2InSn",
  "functional": "PBE",
  "state": "optimized geometry",
  "cell": [[4.876, 0.000, 0.000], [0.000, 4.876, 0.000], [0.000, 0.000, 4.322]],
  "species": ["Tm", "Tm", "In", "Sn"],
  "frac_coords": [[0.000, 0.500, 0.000], [0.500, 0.000, 0.000], [0.000, 0.000, 0.500], [0.500, 0.500, 0.500]],
  "magnetic_moment_mub_per_fu": 0.000,
  "e_form_kj_per_mol_atoms": -49.1,
  "energy_ev_per_atom": -4.43
}